Material: SmDyCo4O12
Method: DFT, PBE with a Hubbard U
State: optimized geometry

Output
The calculation puts the total energy at -6.101 eV/atom.

The structure in CIF format:
```
data_SmDyCo4O12
_chemical_formula_sum 'Sm1 Dy1 Co4 O12'
_space_group_name_H-M_alt 'P 4/m m m'
_space_group_IT_number 123
_space_group_name_Hall '-P 4 2'
_cell_length_a 5.247
_cell_length_b 5.247
_cell_length_c 7.462
_cell_angle_alpha 90.00
_cell_angle_beta 90.00
_cell_angle_gamma 90.00
loop_
_atom_site_label
_atom_site_type_symbol
_atom_site_fract_x
_atom_site_fract_y
_atom_site_fract_z
_atom_site_occupancy
Sm1 Sm 0.000 0.000 0.000 1
Dy1 Dy 0.500 0.500 0.500 1
Co1 Co 0.000 0.500 0.251 1
O1 O 0.000 0.500 0.000 1
O2 O 0.000 0.500 0.500 1
O3 O 0.252 0.252 0.253 1
```